This record from Alexandria via LeMat-Bulk describes a relaxed Zn2Fe2Co crystal. The functional is PBE-GGA.

## Properties
E above lowest polymorph = 0.0000 eV per atom
D(E_F) = 0.86 states/eV/atom
symmetry = No. 127
total DFT energy (no corrections) = -5.027 eV/atom

a = 5.9232 Å, b = 5.9232 Å, c = 3.8278 Å
α = 90.00°, β = 90.00°, γ = 90.00°
With the nearest neighbours (Å) after each atom.
Atoms (fractional coordinates):
Zn1 0.6681 0.8319 0.5000  6 Fe 2.53-2.63, 1 Zn 2.82
Zn2 0.3319 0.1681 0.5000  6 Fe 2.53-2.63, 1 Zn 2.82
Zn3 0.8319 0.3319 0.5000  6 Fe 2.53-2.63, 1 Zn 2.82
Zn4 0.1681 0.6681 0.5000  6 Fe 2.53-2.63, 1 Zn 2.82
Fe1 0.3648 0.8648 0.0000  1 Fe 2.26, 2 Co 2.30, 2 Zn 2.53
Fe2 0.8648 0.6352 0.0000  1 Fe 2.26, 2 Co 2.30, 2 Zn 2.53
Fe3 0.1352 0.3648 0.0000  1 Fe 2.26, 2 Co 2.30, 2 Zn 2.53
Fe4 0.6352 0.1352 0.0000  1 Fe 2.26, 2 Co 2.30, 2 Zn 2.53
Co1 0.0000 0.0000 0.0000  4 Fe 2.30
Co2 0.5000 0.5000 0.0000  4 Fe 2.30